Record 1
Density functional theory data (PBE) for an optimized crystal structure of NbSnS2Cl.

a b c (Å): 4.874 4.874 4.852
angles (deg): 90.00 90.00 90.00
Atoms (fractional coordinates):
Nb (0.000, 0.000, 0.000)
Sn (0.500, 0.500, 0.500)
S (0.000, 0.500, 0.000)
S (0.500, 0.000, 0.000)
Cl (0.000, 0.000, 0.500)

Summary:
Raw formation energy in eV/atom: -0.428
E above lowest polymorph in eV/atom: 0.000
Total energy in eV/atom: -5.26

***

Record 2
Density functional theory data (PBE) for an optimized crystal structure of Li2TbAlPd4.

a b c (Å): 7.985 7.985 7.985
angles (deg): 32.19 32.19 32.19
Atoms (fractional coordinates):
Li (0.244, 0.244, 0.244)
Li (0.756, 0.756, 0.756)
Tb (0.000, 0.000, 0.000)
Al (0.500, 0.500, 0.500)
Pd (0.130, 0.130, 0.130)
Pd (0.390, 0.390, 0.390)
Pd (0.610, 0.610, 0.610)
Pd (0.870, 0.870, 0.870)

Summary:
Formation energy from the elements in eV per atom: -0.72
Total energy in eV/atom: -4.84

***

Record 3
Density functional theory data (PBE) for an optimized crystal structure of Ir3Se.

a b c (Å): 5.339 5.339 4.500
angles (deg): 90.00 90.00 97.61
Atoms (fractional coordinates):
Ir (0.112, 0.278, 0.750)
Ir (0.214, 0.786, 0.750)
Ir (0.278, 0.112, 0.250)
Ir (0.722, 0.888, 0.750)
Ir (0.786, 0.214, 0.250)
Ir (0.888, 0.722, 0.250)
Se (0.354, 0.646, 0.250)
Se (0.646, 0.354, 0.750)

Summary:
Raw formation energy in eV/atom: 0.416
E above lowest polymorph in eV/atom: 0.127
Total energy in eV/atom: -7.10

***

Record 4
Density functional theory data (PBE) for an optimized crystal structure of KBe2AsO6.

a b c (Å): 7.055 7.055 5.762
angles (deg): 105.13 105.13 103.33
Atoms (fractional coordinates):
K (0.104, 0.896, 0.750)
K (0.896, 0.104, 0.250)
Be (0.273, 0.435, 0.913)
Be (0.435, 0.273, 0.413)
Be (0.565, 0.727, 0.587)
Be (0.727, 0.565, 0.087)
As (0.207, 0.793, 0.250)
As (0.793, 0.207, 0.750)
O (0.050, 0.257, 0.771)
O (0.241, 0.660, 0.981)
O (0.257, 0.050, 0.271)
O (0.340, 0.759, 0.519)
O (0.401, 0.409, 0.692)
O (0.409, 0.401, 0.192)
O (0.591, 0.599, 0.808)
O (0.599, 0.591, 0.308)
O (0.660, 0.241, 0.481)
O (0.743, 0.950, 0.729)
O (0.759, 0.340, 0.019)
O (0.950, 0.743, 0.229)

Summary:
Raw formation energy in eV/atom: -1.721
Total energy in eV/atom: -6.02

***

Record 5
Density functional theory data (PBE) for an optimized crystal structure of KCdGaI4.

a b c (Å): 7.989 8.468 9.526
angles (deg): 90.00 106.83 90.00
Atoms (fractional coordinates):
K (0.215, 0.250, 0.044)
K (0.785, 0.750, 0.956)
Cd (0.239, 0.750, 0.322)
Cd (0.761, 0.250, 0.678)
Ga (0.230, 0.250, 0.544)
Ga (0.770, 0.750, 0.456)
I (0.004, 0.008, 0.264)
I (0.004, 0.492, 0.264)
I (0.449, 0.750, 0.131)
I (0.466, 0.750, 0.609)
I (0.534, 0.250, 0.391)
I (0.551, 0.250, 0.869)
I (0.996, 0.508, 0.736)
I (0.996, 0.992, 0.736)

Summary:
Raw formation energy in eV/atom: -0.753
Total energy in eV/atom: -2.36

***

Record 6
Density functional theory data (PBE) for an optimized crystal structure of La2TbY3Tm6.

a b c (Å): 6.173 6.173 11.746
angles (deg): 95.02 95.02 119.96
Atoms (fractional coordinates):
La (0.167, 0.833, 0.000)
La (0.833, 0.167, 0.000)
Tb (0.500, 0.500, 0.000)
Y (0.000, 0.000, 0.500)
Y (0.334, 0.666, 0.500)
Y (0.666, 0.334, 0.500)
Tm (0.083, 0.415, 0.747)
Tm (0.253, 0.253, 0.253)
Tm (0.415, 0.083, 0.747)
Tm (0.585, 0.917, 0.253)
Tm (0.747, 0.747, 0.747)
Tm (0.917, 0.585, 0.253)

Summary:
Formation energy from the elements in eV per atom: 0.03
Total energy in eV/atom: -5.03

***

Record 7
Density functional theory data (PBE) for an optimized crystal structure of GdLuMgPd.

a b c (Å): 5.105 5.105 5.105
angles (deg): 60.00 60.00 60.00
Atoms (fractional coordinates):
Gd (0.000, 0.000, 0.000)
Lu (0.500, 0.500, 0.500)
Mg (0.250, 0.250, 0.250)
Pd (0.750, 0.750, 0.750)

Summary:
Formation energy from the elements in eV per atom: -0.40
Total energy in eV/atom: -6.75

***

Record 8
Density functional theory data (PBE) for an optimized crystal structure of MnCu5Pd6.

a b c (Å): 4.294 6.059 6.770
angles (deg): 90.00 108.17 90.00
Atoms (fractional coordinates):
Mn (0.000, 0.000, 0.000)
Cu (0.000, 0.500, 0.000)
Cu (0.333, 0.000, 0.666)
Cu (0.334, 0.500, 0.669)
Cu (0.666, 0.500, 0.331)
Cu (0.667, 0.000, 0.334)
Pd (0.168, 0.252, 0.336)
Pd (0.168, 0.748, 0.336)
Pd (0.500, 0.252, 0.000)
Pd (0.500, 0.748, 0.000)
Pd (0.832, 0.252, 0.664)
Pd (0.832, 0.748, 0.664)

Summary:
Formation energy from the elements in eV per atom: -0.17
Total energy in eV/atom: -5.23

***

Record 9
Density functional theory data (PBE) for an optimized crystal structure of AcSb4H.

a b c (Å): 6.276 6.276 6.276
angles (deg): 60.00 60.00 60.00
Atoms (fractional coordinates):
Ac (0.000, 0.000, 0.000)
Sb (0.136, 0.621, 0.621)
Sb (0.621, 0.136, 0.621)
Sb (0.621, 0.621, 0.136)
Sb (0.621, 0.621, 0.621)
H (0.250, 0.250, 0.250)

Summary:
Total energy in eV/atom: -3.91

***

Record 10
Density functional theory data (PBE) for an optimized crystal structure of ZnSn2OsRh.

a b c (Å): 5.067 5.067 4.785
angles (deg): 90.00 90.00 90.00
Atoms (fractional coordinates):
Zn (0.000, 0.000, 0.000)
Sn (0.000, 0.500, 0.500)
Sn (0.500, 0.000, 0.500)
Os (0.500, 0.500, 0.000)
Rh (0.500, 0.500, 0.500)

Summary:
Formation energy from the elements in eV per atom: 0.98
Total energy in eV/atom: -4.59

***

Record 11
Density functional theory data (PBE) for an optimized crystal structure of CaPr2Sm3.

a b c (Å): 9.738 9.738 10.479
angles (deg): 122.02 122.02 30.94
Atoms (fractional coordinates):
Ca (0.084, 0.084, 0.457)
Ca (0.916, 0.916, 0.543)
Pr (0.247, 0.247, 0.368)
Pr (0.411, 0.411, 0.276)
Pr (0.589, 0.589, 0.724)
Pr (0.753, 0.753, 0.632)
Sm (0.086, 0.086, 0.965)
Sm (0.251, 0.251, 0.879)
Sm (0.417, 0.417, 0.802)
Sm (0.583, 0.583, 0.198)
Sm (0.749, 0.749, 0.121)
Sm (0.914, 0.914, 0.035)

Summary:
Formation energy from the elements in eV per atom: 0.05
Total energy in eV/atom: -4.24

***

Record 12
Density functional theory data (PBE) for an optimized crystal structure of PrY5Tl4.

a b c (Å): 3.629 3.629 21.911
angles (deg): 90.00 90.00 90.00
Atoms (fractional coordinates):
Pr (0.000, 0.000, 0.000)
Y (0.500, 0.500, 0.119)
Y (0.500, 0.500, 0.308)
Y (0.500, 0.500, 0.500)
Y (0.500, 0.500, 0.692)
Y (0.500, 0.500, 0.881)
Tl (0.000, 0.000, 0.213)
Tl (0.000, 0.000, 0.404)
Tl (0.000, 0.000, 0.596)
Tl (0.000, 0.000, 0.787)

Summary:
Formation energy from the elements in eV per atom: -0.30
Total energy in eV/atom: -4.96

***

Record 13
Density functional theory data (PBE) for an optimized crystal structure of CsCrCo2Br8.

a b c (Å): 11.223 11.223 11.223
angles (deg): 34.28 34.28 34.28
Atoms (fractional coordinates):
Cs (0.000, 0.000, 0.000)
Cr (0.500, 0.500, 0.500)
Co (0.235, 0.235, 0.235)
Co (0.765, 0.765, 0.765)
Br (0.146, 0.444, 0.768)
Br (0.232, 0.854, 0.556)
Br (0.309, 0.309, 0.309)
Br (0.444, 0.768, 0.146)
Br (0.556, 0.232, 0.854)
Br (0.691, 0.691, 0.691)
Br (0.768, 0.146, 0.444)
Br (0.854, 0.556, 0.232)

Summary:
Raw formation energy in eV/atom: -0.669
Total energy in eV/atom: -3.84

***

Record 14
Density functional theory data (PBE) for an optimized crystal structure of BaZn4P3.

a b c (Å): 4.199 4.199 9.198
angles (deg): 90.00 90.00 90.00
Atoms (fractional coordinates):
Ba (0.000, 0.000, 0.000)
Zn (0.000, 0.500, 0.346)
Zn (0.000, 0.500, 0.654)
Zn (0.500, 0.000, 0.346)
Zn (0.500, 0.000, 0.654)
P (0.000, 0.000, 0.500)
P (0.500, 0.500, 0.203)
P (0.500, 0.500, 0.797)

Summary:
Formation energy from the elements in eV per atom: -0.37
Total energy in eV/atom: -3.27

***

Record 15
Density functional theory data (PBE) for an optimized crystal structure of Ta2CuCl.

a b c (Å): 9.498 9.498 9.498
angles (deg): 155.84 155.84 34.43
Atoms (fractional coordinates):
Ta (0.119, 0.625, 0.994)
Ta (0.375, 0.369, 0.494)
Ta (0.631, 0.125, 0.006)
Ta (0.875, 0.881, 0.506)
Cu (0.000, 0.000, 0.000)
Cu (0.750, 0.250, 0.500)
Cl (0.250, 0.750, 0.500)
Cl (0.500, 0.500, 0.000)

Summary:
Raw formation energy in eV/atom: 0.675
E above lowest polymorph in eV/atom: 0.674
Total energy in eV/atom: -6.74

***

Record 16
Density functional theory data (PBE) for an optimized crystal structure of BeTcAu2.

a b c (Å): 2.804 3.577 6.169
angles (deg): 90.00 103.09 90.00
Atoms (fractional coordinates):
Be (0.000, 0.000, 0.000)
Tc (0.573, 0.500, 0.149)
Au (0.212, 0.000, 0.430)
Au (0.865, 0.500, 0.736)

Summary:
Formation energy from the elements in eV per atom: 0.17
Total energy in eV/atom: -4.99

***

Record 17
Density functional theory data (PBE) for an optimized crystal structure of Zr2Tl2O.

a b c (Å): 6.110 6.110 5.531
angles (deg): 90.00 90.00 90.00
Atoms (fractional coordinates):
Zr (0.175, 0.325, 0.000)
Zr (0.325, 0.825, 0.000)
Zr (0.675, 0.175, 0.000)
Zr (0.825, 0.675, 0.000)
Tl (0.175, 0.675, 0.500)
Tl (0.325, 0.175, 0.500)
Tl (0.675, 0.825, 0.500)
Tl (0.825, 0.325, 0.500)
O (0.000, 0.000, 0.000)
O (0.500, 0.500, 0.000)

Summary:
Raw formation energy in eV/atom: -0.926
Total energy in eV/atom: -6.28

***

Record 18
Density functional theory data (PBE) for an optimized crystal structure of LaHgCl.

a b c (Å): 4.948 4.948 4.107
angles (deg): 90.00 90.00 120.00
Atoms (fractional coordinates):
La (0.000, 0.000, 0.000)
Hg (0.333, 0.667, 0.500)
Cl (0.667, 0.333, 0.000)

Summary:
Raw formation energy in eV/atom: -1.008
E above lowest polymorph in eV/atom: 0.200
Total energy in eV/atom: -3.37

***

Record 19
Density functional theory data (PBE) for an optimized crystal structure of YW.

a b c (Å): 8.034 8.034 8.034
angles (deg): 90.00 90.00 90.00
Atoms (fractional coordinates):
Y (0.000, 0.250, 0.500)
Y (0.000, 0.750, 0.500)
Y (0.250, 0.500, 0.000)
Y (0.500, 0.000, 0.250)
Y (0.500, 0.000, 0.750)
Y (0.750, 0.500, 0.000)
W (0.000, 0.500, 0.250)
W (0.000, 0.500, 0.750)
W (0.250, 0.000, 0.500)
W (0.500, 0.250, 0.000)
W (0.500, 0.750, 0.000)
W (0.750, 0.000, 0.500)

Summary:
Formation energy from the elements in eV per atom: 3.03
E above lowest polymorph in eV/atom: 2.779
Total energy in eV/atom: -6.68

***

Record 20
Density functional theory data (PBE) for an optimized crystal structure of Sm2Dy3Ho9.

a b c (Å): 6.401 8.365 8.855
angles (deg): 87.23 82.83 70.97
Atoms (fractional coordinates):
Sm (0.000, 0.000, 0.000)
Sm (0.143, 0.646, 0.197)
Dy (0.460, 0.045, 0.788)
Dy (0.621, 0.351, 0.159)
Dy (0.788, 0.554, 0.448)
Ho (0.066, 0.398, 0.938)
Ho (0.182, 0.186, 0.275)
Ho (0.304, 0.835, 0.492)
Ho (0.336, 0.400, 0.538)
Ho (0.493, 0.592, 0.822)
Ho (0.597, 0.791, 0.116)
Ho (0.747, 0.992, 0.406)
Ho (0.911, 0.202, 0.661)
Ho (0.940, 0.749, 0.738)

Summary:
Formation energy from the elements in eV per atom: 0.08
Total energy in eV/atom: -4.52

***

Record 21
Density functional theory data (PBE) for an optimized crystal structure of Y2CF.

a b c (Å): 6.327 3.635 6.374
angles (deg): 90.00 90.29 90.00
Atoms (fractional coordinates):
Y (0.204, 0.000, 0.332)
Y (0.217, 0.500, 0.837)
Y (0.783, 0.500, 0.163)
Y (0.796, 0.000, 0.668)
C (0.000, 0.000, 0.000)
C (0.000, 0.500, 0.500)
F (0.408, 0.500, 0.177)
F (0.592, 0.500, 0.823)

Summary:
Raw formation energy in eV/atom: -1.571
E above lowest polymorph in eV/atom: 0.000
Total energy in eV/atom: -7.58

***

Record 22
Density functional theory data (PBE) for an optimized crystal structure of BePd2Ru.

a b c (Å): 9.232 9.232 9.232
angles (deg): 157.34 157.34 32.27
Atoms (fractional coordinates):
Be (0.000, 0.000, 0.000)
Be (0.750, 0.250, 0.500)
Pd (0.119, 0.625, 0.994)
Pd (0.375, 0.369, 0.494)
Pd (0.631, 0.125, 0.006)
Pd (0.875, 0.881, 0.506)
Ru (0.250, 0.750, 0.500)
Ru (0.500, 0.500, 0.000)

Summary:
Formation energy from the elements in eV per atom: 0.39
Total energy in eV/atom: -5.45

***

Record 23
Density functional theory data (PBE) for an optimized crystal structure of SrLiNi2.

a b c (Å): 5.762 5.762 5.762
angles (deg): 42.56 42.56 42.56
Atoms (fractional coordinates):
Sr (0.000, 0.000, 0.000)
Li (0.500, 0.500, 0.500)
Ni (0.183, 0.183, 0.183)
Ni (0.817, 0.817, 0.817)

Summary:
Formation energy from the elements in eV per atom: 0.04
E above lowest polymorph in eV/atom: 0.043
Total energy in eV/atom: -3.75